No. 1
10
Lattice="4.0890 0.0000 0.0000 0.0000 4.0890 0.0000 0.0000 0.0000 11.5470" Properties=species:S:1:pos:R:3 comment="Pu2MgGa3Pd4, relaxed, DFT PBE" formation_enthalpy_0k_ev_per_fu=-5.72 crystal_system=tetragonal pbc="T T T"
Pu 2.0445 0.0000 2.8391
Pu 0.0000 2.0445 8.7079
Mg 2.0445 2.0445 5.7735
Ga 0.0000 0.0000 5.7735
Ga 2.0445 0.0000 10.0352
Ga 0.0000 2.0445 1.5119
Pd 2.0445 2.0445 0.0000
Pd 0.0000 0.0000 0.0000
Pd 2.0445 0.0000 7.4915
Pd 0.0000 2.0445 4.0556

***

No. 2
5
Lattice="-3.9892 2.3054 1.9056 -2.1501 -0.0020 -4.4986 -2.1596 -4.5919 1.0343" Properties=species:S:1:pos:R:3 comment="RbMgGa2Pd, relaxed, DFT PBE" formation_enthalpy_0k_ev_per_fu=-0.89 crystal_system=tetragonal pbc="T T T"
Mg -1.0798 -2.2960 0.5171
Ga -1.0750 -0.0010 -2.2493
Ga -1.9946 1.1527 0.9528
Rb -4.1495 -1.1443 -0.7794
Pd 0.0000 0.0000 0.0000

***

No. 3
5
Lattice="-2.7619 -2.3348 2.8485 2.8190 -3.6026 -0.2195 2.3527 1.6210 3.6098" Properties=species:S:1:pos:R:3 comment="MgGaPd2Rh, relaxed, DFT PBE" formation_enthalpy_0k_ev_per_fu=0.04 crystal_system=tetragonal pbc="T T T"
Mg 1.2049 -2.1582 3.1194
Rh 1.4095 -1.8013 -0.1098
Ga 0.0000 0.0000 0.0000
Pd 1.1763 0.8105 1.8049
Pd -1.3810 -1.1674 1.4243

***

No. 4
9
Lattice="2.9970 0.0000 0.0000 0.0000 7.4311 0.0000 0.0000 -3.7156 6.4355" Properties=species:S:1:pos:R:3 comment="Mg3Ga3PdRh2, relaxed, DFT PBE" formation_enthalpy_0k_ev_per_fu=-4.26 crystal_system=hexagonal pbc="T T T"
Mg 1.4985 5.2791 0.0000
Mg 1.4985 -2.6396 4.5718
Mg 1.4985 1.0760 1.8637
Ga 0.0000 2.3113 4.0033
Ga 0.0000 -1.4043 2.4323
Ga 0.0000 2.8085 0.0000
Pd 0.0000 0.0000 0.0000
Rh 1.4985 3.7156 2.1452
Rh 1.4985 0.0000 4.2904

***

In μB/cell, the total magnetization values for the records above are, in order, 11.16; 0.00; 0.00; 0.00.